1.
This record from Alexandria via LeMat-Bulk describes a relaxed ErI3 crystal. The functional is PBE.

a = 3.959 Å, b = 7.816 Å, c = 7.710 Å
α = 120.45°, β = 104.88°, γ = 90.00°
Element x y z (fractional)
I1 0.343 0.737 0.686
I2 0.500 0.336 0.000
I3 0.657 0.052 0.314
Er1 0.000 0.042 0.000

raw total energy: -3.63 eV per atom
crystal system: orthorhombic


2.
This record from Alexandria via LeMat-Bulk describes a relaxed SmHg3Pd4 crystal. The functional is PBE.

a = 4.412 Å, b = 4.412 Å, c = 8.417 Å
α = 105.12°, β = 105.13°, γ = 89.99°
Element x y z (fractional)
Pd1 0.373 0.373 0.746
Pd2 0.627 0.627 0.254
Pd3 0.127 0.127 0.254
Pd4 0.873 0.873 0.746
Hg1 0.000 0.500 0.000
Hg2 0.751 0.251 0.502
Hg3 0.249 0.749 0.498
Sm1 0.500 0.000 0.000

raw total energy: -3.71 eV per atom
energy relative to the elements: -415.1 meV per atom
crystal system: monoclinic


3.
This record from Alexandria via LeMat-Bulk describes a relaxed CuTe3N crystal. The functional is PBE.

a = 5.153 Å, b = 5.153 Å, c = 5.153 Å
α = 90.00°, β = 90.00°, γ = 90.00°
Element x y z (fractional)
Te1 0.000 0.500 0.000
Te2 0.000 0.000 0.500
Te3 0.500 0.000 0.000
Cu1 0.000 0.000 0.000
N1 0.500 0.500 0.500

raw total energy: -3.00 eV per atom
excess energy over the best structure of this formula in the dataset: 0.467 eV per atom
crystal system: cubic


4.
This record from Alexandria via LeMat-Bulk describes a relaxed Sr2Al2Tc crystal. The functional is PBE.

a = 4.034 Å, b = 4.034 Å, c = 7.776 Å
α = 74.97°, β = 74.97°, γ = 90.00°
Element x y z (fractional)
Sr1 0.750 0.250 0.500
Sr2 0.250 0.750 0.500
Tc1 0.000 0.000 0.000
Al1 0.416 0.416 0.168
Al2 0.584 0.584 0.832

raw total energy: -3.27 eV per atom
energy relative to the elements: 971.3 meV per atom
excess energy over the best structure of this formula in the dataset: 0.731 eV per atom
crystal system: tetragonal


5.
This record from Alexandria via LeMat-Bulk describes a relaxed Li3InF6 crystal. The functional is PBE.

a = 5.274 Å, b = 5.264 Å, c = 8.157 Å
α = 90.00°, β = 89.55°, γ = 90.00°
Element x y z (fractional)
Li1 0.492 0.979 0.766
Li2 0.500 0.500 0.000
Li3 0.508 0.021 0.234
Li4 0.992 0.521 0.266
Li5 0.000 0.000 0.500
Li6 0.008 0.479 0.734
In1 0.500 0.500 0.500
In2 0.000 0.000 0.000
F1 0.655 0.179 0.940
F2 0.668 0.171 0.596
F3 0.643 0.380 0.268
F4 0.357 0.620 0.732
F5 0.332 0.829 0.404
F6 0.345 0.821 0.060
F7 0.155 0.321 0.440
F8 0.168 0.329 0.096
F9 0.143 0.120 0.768
F10 0.857 0.880 0.232
F11 0.832 0.671 0.904
F12 0.845 0.679 0.560

raw total energy: -4.73 eV per atom
excess energy over the best structure of this formula in the dataset: 0.000 eV per atom
crystal system: monoclinic


6.
This record from Alexandria via LeMat-Bulk describes a relaxed TaOsSe2 crystal. The functional is PBE.

a = 5.134 Å, b = 5.134 Å, c = 4.035 Å
α = 70.47°, β = 70.47°, γ = 117.87°
Element x y z (fractional)
Os1 0.000 0.500 0.500
Se1 0.000 0.000 0.000
Se2 0.500 0.500 0.000
Ta1 0.500 0.000 0.500

raw total energy: -7.11 eV per atom
excess energy over the best structure of this formula in the dataset: 0.565 eV per atom
crystal system: monoclinic


- Which of these has the lowest raw total energy?
  TaOsSe2